Record 1
Computed, not measured: a relaxed BeZn3Ni crystal at the PBE-GGA level of DFT.

Output
The calculation puts the formation energy at 0.6348 eV/atom. As for the space group: No. 221. Its total energy is -2.031 eV per atom.

abc: 4.5069 4.5069 4.5069
angles: 90.00 90.00 90.00
With the nearest neighbours (Å) after each atom.
Fractional coordinates of all 5 atoms:
Zn: 0.5000 0.0000 0.0000  2 Ni 2.25
Zn: 0.0000 0.5000 0.0000  2 Ni 2.25
Zn: 0.0000 0.0000 0.5000  2 Ni 2.25
Ni: 0.0000 0.0000 0.0000  6 Zn 2.25
Be: 0.5000 0.5000 0.5000  12 Zn 3.19


Record 2
Computed, not measured: a relaxed BePRuO2 crystal at the PBE-GGA level of DFT.

Output
The uncorrected formation energy comes out at -1.2 eV per formula unit. As for the space group: No. 123. Its total energy is -5.903 eV per atom.

abc: 3.2571 3.2571 5.9914
angles: 90.00 90.00 90.00
With the nearest neighbours (Å) after each atom.
Fractional coordinates of all 5 atoms:
Ru: 0.5000 0.5000 0.5000  4 P 2.30
P: 0.0000 0.0000 0.5000  4 Ru 2.30
O: 0.5000 0.0000 0.0000  2 Be 1.63
O: 0.0000 0.5000 0.0000  2 Be 1.63
Be: 0.0000 0.0000 0.0000  4 O 1.63


Volume values, unit Å³ per cell, following the record order: 92; 64.
ΔE to the lowest computed polymorph values, unit meV per atom, following the record order: 123; 0.